! SrAl2HPb | the Alexandria database | PBE | optimized geometry; values from VASP
! Raw total energy ... -2.850 eV per atom
&SYSTEM
  ibrav = 0, nat = 5, ntyp = 4
/
ATOMIC_SPECIES
H 1.01 H.upf
Pb 207.20 Pb.upf
Sr 87.62 Sr.upf
Al 26.98 Al.upf
CELL_PARAMETERS angstrom
5.804 0.000 0.000
0.000 5.804 0.000
0.000 0.000 3.942
ATOMIC_POSITIONS crystal
H 0.000 0.000 0.500
Pb 0.000 0.000 0.000
Sr 0.500 0.500 0.500
Al 0.500 0.000 0.000
Al 0.000 0.500 0.000